Here is a geometry-optimized ZrMnAsO5 structure from Alexandria. Energies are from GGA+U.

It has space group C2/c (No. 15), with a = 6.858 Å, b = 9.789 Å, c = 7.458 Å, α = 90.00°, β = 112.57° and γ = 90.00°. Symmetry generates all atoms from Zr at (0.250, 0.250, 0.000), Mn at (0.000, 0.021, 0.250), As at (0.000, 0.466, 0.250), O at (0.000, 0.190, 0.750), O at (0.024, 0.349, 0.081) and O at (0.211, 0.050, 0.117).

The value obtained for the total magnetic moment is 0.5192 μB per atom. The calculation puts the energy at -7.6089 eV per atom. The calculation puts the density of states at the Fermi level at 0.239 states/eV/atom.